! Sc2TaTiIr PBE optimized geometry; values from VASP
&SYSTEM
  ibrav = 0, nat = 5, ntyp = 4
/
ATOMIC_SPECIES
Sc 44.96 Sc.upf
Ir 192.22 Ir.upf
Ti 47.87 Ti.upf
Ta 180.95 Ta.upf
CELL_PARAMETERS angstrom
-4.7704 1.0668 -0.5171
-0.9686 -2.3966 3.9909
0.6348 4.1093 2.6217
ATOMIC_POSITIONS crystal
Sc 0.0000 0.0000 0.5000
Sc 0.5000 0.0000 0.0000
Ir 0.0000 0.0000 0.0000
Ti 0.0000 0.5000 0.0000
Ta 0.5000 0.5000 0.5000
! energy of formation from the pure elements: 450 meV/atom
! space-group type: P4/mmm
! energy relative to the lowest polymorph listed for this composition: 0.0 kJ/mol of formula units

=====

! Zn2GaF PBE optimized geometry; values from VASP
&SYSTEM
  ibrav = 0, nat = 4, ntyp = 3
/
ATOMIC_SPECIES
Zn 65.41 Zn.upf
Ga 69.72 Ga.upf
F 19.00 F.upf
CELL_PARAMETERS angstrom
0.0000 3.1706 3.1706
3.1706 0.0000 3.1706
3.1706 3.1706 0.0000
ATOMIC_POSITIONS crystal
Zn 0.2500 0.2500 0.2500
Zn 0.7500 0.7500 0.7500
Ga 0.5000 0.5000 0.5000
F 0.0000 0.0000 0.0000
! space-group type: Fm-3m
! energy relative to the lowest polymorph listed for this composition: 60.2 kJ/mol of formula units
! formation energy from raw total energies: -0.398 eV/atom